# 1
DFT (PBE-GGA) results for a geometry-optimized Mg2HgAs structure.

The formation energy comes out at -24.6 kJ/mol of atoms. As for the total energy: -18.3 eV for the cell shown. The mass density is 6.53 Mg/m³.

abc: 6.5919 6.5469 3.8173
angles: 90.00 90.71 90.00
Space group C2/m (No. 12)
Asymmetric unit:
Mg1 0.2500 0.2500 0.0000 [4 per cell]
Hg1 0.0000 0.0000 0.5000 [2 per cell]
As1 0.0000 0.5000 0.5000 [2 per cell]



# 2
DFT (PBE-GGA) results for a geometry-optimized Ca6Ag5Pt structure.

The formation energy comes out at -40.5 kJ/mol of atoms. As for the total energy: -37.3 eV for the cell shown. The mass density is 5.45 Mg/m³.

abc: 5.1686 7.4461 8.1337
angles: 90.00 108.36 90.00
Space group P2/m (No. 10)
Asymmetric unit:
Ca1 0.0000 0.2357 0.0000 [2 per cell]
Ca2 0.3411 0.2434 0.6797 [4 per cell]
Ag1 0.1663 0.5000 0.3372 [2 per cell]
Ag2 0.1726 0.0000 0.3487 [2 per cell]
Ag3 0.5000 0.5000 0.0000 [1 per cell]
Pt1 0.5000 0.0000 0.0000 [1 per cell]



# 3
DFT (PBE-GGA) results for a geometry-optimized PtBrF3 structure.

As for the total energy: -11.4 eV for the cell shown. The mass density is 6.23 Mg/m³.

abc: 4.4562 4.4562 4.4562
angles: 90.00 90.00 90.00
Space group Pm-3m (No. 221)
Asymmetric unit:
Pt1 0.0000 0.0000 0.0000 [1 per cell]
Br1 0.5000 0.5000 0.5000 [1 per cell]
F1 0.0000 0.5000 0.5000 [3 per cell]



# 4
DFT (PBE-GGA) results for a geometry-optimized Ca2InGe4Pd3 structure.

The formation energy comes out at -55.9 kJ/mol of atoms. As for the total energy: -46.6 eV for the cell shown. The mass density is 6.61 Mg/m³.

abc: 4.2763 4.2763 11.0505
angles: 90.00 90.00 90.00
Space group P-4m2 (No. 115)
Asymmetric unit:
Ca1 0.0000 0.5000 0.2434 [2 per cell]
In1 0.0000 0.0000 0.5000 [1 per cell]
Ge1 0.0000 0.0000 0.0000 [1 per cell]
Ge2 0.0000 0.5000 0.6518 [2 per cell]
Ge3 0.5000 0.5000 0.0000 [1 per cell]
Pd1 0.0000 0.5000 0.8735 [2 per cell]
Pd2 0.5000 0.5000 0.5000 [1 per cell]



# 5
DFT (PBE-GGA) results for a geometry-optimized Tb2Cd3Ag3 structure.

The formation energy comes out at -27.2 kJ/mol of atoms. As for the total energy: -68.4 eV for the cell shown. The mass density is 9.27 Mg/m³.

abc: 4.9956 4.9956 24.3262
angles: 90.00 90.00 120.00
Space group R3m (No. 160, hexagonal axes)
Asymmetric unit:
Tb1 0.0000 0.0000 0.0000 [3 per cell]
Tb2 0.0000 0.0000 0.4946 [3 per cell]
Cd1 0.0000 0.0000 0.2484 [3 per cell]
Cd2 0.0000 0.0000 0.7462 [3 per cell]
Cd3 0.0000 0.0000 0.8726 [3 per cell]
Ag1 0.0000 0.0000 0.1246 [3 per cell]
Ag2 0.0000 0.0000 0.3704 [3 per cell]
Ag3 0.0000 0.0000 0.6217 [3 per cell]



> mass density of number 4 (Ca2InGe4Pd3)?

6.61 Mg/m³



> The highest mass density belongs to which entry?

Tb2Cd3Ag3



> Among the records above, which one has the highest mass density?

Tb2Cd3Ag3